1.
Computed, not measured: PmGd2Lu after structural relaxation at the GGA-PBE level of DFT.

Results
**Formation energy**: 0.03 eV per atom
**Energy above the lowest structure with this stoichiometry**: 8.6 meV/atom

abc: 11.814 11.814 11.814
angles: 17.38 17.38 17.38
Element x y z (fractional)
Pm1 0.000 0.000 0.000
Gd1 0.248 0.248 0.248
Gd2 0.752 0.752 0.752
Lu1 0.500 0.500 0.500

=====

2.
Computed, not measured: Pm2GdLu after structural relaxation at the GGA-PBE level of DFT.

Results
**Formation energy**: 0.02 eV per atom
**Energy above the lowest structure with this stoichiometry**: 5.8 meV/atom

abc: 3.599 3.599 10.067
angles: 90.00 90.00 90.00
Element x y z (fractional)
Pm1 0.000 0.000 0.245
Pm2 0.000 0.000 0.755
Gd1 0.500 0.500 0.500
Lu1 0.500 0.500 0.000

=====

3.
Computed, not measured: Pm4GdLu after structural relaxation at the GGA-PBE level of DFT.

Results
**Formation energy**: 0.25 eV per atom

abc: 6.649 6.649 6.649
angles: 60.00 60.00 60.00
Element x y z (fractional)
Pm1 0.124 0.124 0.124
Pm2 0.124 0.124 0.627
Pm3 0.124 0.627 0.124
Pm4 0.627 0.124 0.124
Gd1 0.500 0.500 0.500
Lu1 0.750 0.750 0.750

=====

> What is the formula in the third record?

Pm4GdLu

=====

> Which formula does entry 2 have?

Pm2GdLu

=====

> Which of these has the highest formation energy?

Pm4GdLu

=====

> What is the formula in the third record?

Pm4GdLu